# 1
The following is a DFT calculation (PBE-GGA) of a geometry-optimized Na2SiSnO4 structure.

Geometry as POSCAR:
```
Na2SiSnO4
1.0
5.160 0.000 0.000
0.000 5.928 0.000
0.000 0.000 7.626
Na Si Sn O
4 2 2 8
Cartesian
2.459 1.895 1.818
2.459 1.895 5.807
5.039 4.033 5.631
5.039 4.033 1.995
2.604 5.040 3.813
0.024 0.888 0.000
5.043 1.339 3.813
2.463 4.589 0.000
1.685 0.601 0.000
4.265 5.327 3.813
1.897 0.637 3.813
4.477 5.290 0.000
2.245 4.223 5.192
4.825 1.705 1.379
4.825 1.705 6.247
2.245 4.223 2.434
```

Summary:
- uncorrected energy (eV per cell) = -96.4
- uncorrected formation energy (eV/atom) = -2.04



# 2
The following is a DFT calculation (PBE-GGA) of a geometry-optimized Na4Si3Sn2O12 structure.

Geometry as POSCAR:
```
Na4Si3Sn2O12
1.0
9.091 -0.009 -0.006
4.476 7.912 -0.006
4.476 2.608 7.470
Na Si Sn O
8 6 4 24
Cartesian
0.000 0.000 0.000
9.056 3.320 0.880
7.355 2.892 5.600
6.143 6.928 2.843
11.900 3.584 4.615
9.021 5.256 3.729
10.688 7.619 1.858
8.987 7.192 6.578
7.698 6.046 0.323
8.987 8.980 4.058
10.345 4.466 7.135
5.799 5.562 5.600
12.244 4.950 1.858
9.056 1.532 3.400
11.664 6.795 4.821
2.643 1.539 1.092
15.400 8.972 6.366
6.379 3.716 2.637
5.479 2.374 3.879
11.186 3.056 6.986
9.868 1.202 2.003
11.543 3.491 1.611
9.313 6.243 0.138
10.024 1.789 4.695
8.730 4.268 7.320
8.019 8.722 2.763
9.799 7.552 4.208
10.458 5.335 5.739
8.175 9.310 5.454
12.564 8.137 3.579
6.640 4.955 4.318
12.131 5.981 0.577
8.244 2.959 3.250
6.570 2.573 0.960
4.768 4.849 2.112
6.857 7.456 0.472
7.585 5.177 1.719
11.403 5.557 3.140
5.912 4.531 6.881
13.275 5.662 5.346
11.473 7.938 6.498
6.500 7.020 5.847
```

Summary:
- uncorrected energy (eV per cell) = -271.2
- uncorrected formation energy (eV/atom) = -2.22



# 3
The following is a DFT calculation (PBE-GGA) of a geometry-optimized NaSi2SnO6 structure.

Geometry as POSCAR:
```
NaSi2SnO6
1.0
-1.902 3.725 -3.397
2.767 -2.139 -6.245
-6.167 -2.946 -2.128
Na Si Sn O
2 4 2 12
Cartesian
1.464 -1.283 -6.713
-6.765 -0.078 -5.057
-2.158 -2.589 -7.261
-0.628 -0.493 -3.532
-3.144 1.228 -4.509
-4.673 -0.868 -8.238
-4.251 -1.799 -4.079
-1.050 0.438 -7.691
-2.320 -3.735 -8.422
-0.025 0.693 -2.574
-2.981 2.374 -3.348
-5.276 -2.054 -9.196
-0.812 -1.677 -7.393
0.466 -1.184 -4.524
-4.489 0.317 -4.377
-5.767 -0.177 -7.246
-2.130 -3.389 -5.804
-1.829 0.201 -4.448
-3.172 2.028 -5.966
-3.472 -1.562 -7.322
```

Summary:
- uncorrected energy (eV per cell) = -136.5
- uncorrected formation energy (eV/atom) = -2.23



# 4
The following is a DFT calculation (PBE-GGA) of a geometry-optimized Na4Si5Sn2O17 structure.

Geometry as POSCAR:
```
Na4Si5Sn2O17
1.0
-2.817 3.651 2.611
-7.490 -6.795 -3.956
4.936 -4.889 12.161
Na Si Sn O
8 10 4 34
Cartesian
-6.069 -1.395 0.931
0.620 -6.536 9.958
-1.820 -4.243 3.884
-3.506 -3.848 6.891
-1.835 1.540 3.869
-4.910 -7.791 8.221
-5.978 -7.166 0.759
2.080 -2.776 8.692
-6.566 -4.084 -1.397
1.208 -3.966 12.202
-1.257 -1.528 6.126
-4.097 -6.527 4.675
-0.703 0.911 0.651
0.377 0.265 8.019
-4.762 -4.342 1.079
-0.684 -3.593 9.808
-3.088 -1.246 3.725
-2.249 -6.830 7.060
-3.132 -5.856 10.275
-2.285 -2.118 0.584
0.202 -4.539 6.570
-5.575 -3.491 4.248
0.737 -3.393 10.717
-6.003 -4.776 0.002
-3.700 -7.024 6.217
-1.874 -0.746 4.787
-0.465 -8.790 9.640
-3.780 -0.702 0.132
-2.415 -1.702 7.262
-4.061 -4.899 4.579
0.114 -3.296 13.235
-7.122 -2.615 -0.901
-3.034 -7.282 3.703
-0.657 -2.928 5.557
-2.173 -10.421 7.710
-0.831 -0.679 0.913
-0.702 -0.067 9.181
-7.008 -4.934 3.804
-7.780 -5.101 -1.889
2.739 -3.359 12.400
-0.037 -0.498 6.599
-5.630 -7.151 4.491
-3.667 -3.575 0.133
-1.227 -5.076 10.242
-4.186 -2.014 4.661
-1.700 -5.352 6.632
-3.563 0.176 3.092
-2.753 -6.984 8.600
-4.318 -5.793 1.643
-0.110 -3.462 8.300
-1.789 -2.472 10.231
-5.324 -3.302 2.201
-1.183 -7.983 6.606
-2.470 -2.278 2.618
3.061 -4.967 9.625
-8.105 -3.489 0.889
```

Summary:
- uncorrected energy (eV per cell) = -372.4
- uncorrected formation energy (eV/atom) = -2.20